Crystalline Tb2Ho5Hg at its relaxed geometry, computed with GGA-PBE.

## Properties
The value obtained for the calculated volume is 29.52 Å³ per atom. The energy is -32.8 eV per cell. Its space group is I4mm, No. 107. The calculation puts the magnetic moment at 0.000 μB/atom. The calculated formation energy comes out at -41 meV/atom. The mass density comes out at 9.44 g/cm³.

abc: 6.9489 6.9489 6.9489
angles: 120.30 120.30 89.48
Sites, in units of the cell vectors:
Tb: 0.0000 0.5000 0.5000
Tb: 0.5000 0.0000 0.5000
Ho: 0.0001 0.0001 0.0000
Ho: 0.9999 0.9999 0.4999
Ho: 0.9999 0.5000 0.0000
Ho: 0.5000 0.9999 0.0000
Ho: 0.5000 0.5000 0.5001
Hg: 0.5006 0.5006 0.0000

Crystalline TbHo5Hg4 at its relaxed geometry, computed with GGA-PBE.

## Properties
The value obtained for the calculated volume is 26.88 Å³ per atom. The energy is -32.4 eV per cell. Its space group is P4/mmm, No. 123. The calculation puts the magnetic moment at 0.000 μB/atom. The calculated formation energy comes out at -371 meV/atom. The mass density comes out at 11.03 g/cm³.

abc: 3.6619 3.6619 20.0440
angles: 90.00 90.00 90.00
Sites, in units of the cell vectors:
Tb: 0.0000 0.0000 0.0000
Ho: 0.5000 0.5000 0.1228
Ho: 0.5000 0.5000 0.3123
Ho: 0.5000 0.5000 0.5000
Ho: 0.5000 0.5000 0.6877
Ho: 0.5000 0.5000 0.8772
Hg: 0.0000 0.0000 0.2156
Hg: 0.0000 0.0000 0.4054
Hg: 0.0000 0.0000 0.5946
Hg: 0.0000 0.0000 0.7844

Crystalline Tb2HoHg2 at its relaxed geometry, computed with GGA-PBE.

## Properties
The value obtained for the calculated volume is 27.64 Å³ per atom. The energy is -32.7 eV per cell. Its space group is P4/mbm, No. 127. The calculation puts the magnetic moment at 0.000 μB/atom. The calculated formation energy comes out at -383 meV/atom. The mass density comes out at 10.62 g/cm³.

abc: 8.4742 8.4742 3.8492
angles: 90.00 90.00 90.00
Sites, in units of the cell vectors:
Tb: 0.1662 0.3338 0.0000
Tb: 0.3338 0.8338 0.0000
Tb: 0.6662 0.1662 0.0000
Tb: 0.8338 0.6662 0.0000
Ho: 0.0000 0.0000 0.5000
Ho: 0.5000 0.5000 0.5000
Hg: 0.1331 0.6331 0.5000
Hg: 0.3669 0.1331 0.5000
Hg: 0.6331 0.8669 0.5000
Hg: 0.8669 0.3669 0.5000

Crystalline Tb3Ho2Hg3 at its relaxed geometry, computed with GGA-PBE.

## Properties
The value obtained for the calculated volume is 27.36 Å³ per atom. The energy is -26.8 eV per cell. Its space group is Immm, No. 71. The calculation puts the magnetic moment at 0.000 μB/atom. The calculated formation energy comes out at -360 meV/atom. The mass density comes out at 10.69 g/cm³.

abc: 11.5073 11.5073 11.5073
angles: 161.37 153.26 32.79
Sites, in units of the cell vectors:
Tb: 0.0000 0.0000 0.0000
Tb: 0.3782 0.8782 0.5000
Tb: 0.6218 0.1218 0.5000
Ho: 0.2324 0.2324 0.0000
Ho: 0.7676 0.7676 0.0000
Hg: 0.1194 0.6194 0.5000
Hg: 0.5000 0.5000 0.0000
Hg: 0.8806 0.3806 0.5000

Crystalline Tb5Ho3Hg2 at its relaxed geometry, computed with GGA-PBE.

## Properties
The value obtained for the calculated volume is 31.80 Å³ per atom. The energy is -73.6 eV per cell. Its space group is Ibam, No. 72. The calculation puts the magnetic moment at 0.000 μB/atom. The calculated formation energy comes out at 69 meV/atom. The mass density comes out at 8.83 g/cm³.

abc: 10.2660 10.2660 10.2660
angles: 100.10 92.51 141.34
Sites, in units of the cell vectors:
Tb: 0.0300 0.2500 0.7800
Tb: 0.0727 0.1929 0.2656
Tb: 0.2500 0.2500 0.0000
Tb: 0.4273 0.6929 0.1202
Tb: 0.4700 0.2500 0.2200
Tb: 0.5300 0.7500 0.7800
Tb: 0.5727 0.3071 0.8798
Tb: 0.7500 0.7500 0.0000
Tb: 0.9273 0.8071 0.7344
Tb: 0.9700 0.7500 0.2200
Ho: 0.1688 0.7249 0.8937
Ho: 0.2500 0.7500 0.5000
Ho: 0.3312 0.2249 0.5560
Ho: 0.6688 0.7751 0.4440
Ho: 0.7500 0.2500 0.5000
Ho: 0.8312 0.2751 0.1063
Hg: 0.1426 0.3928 0.5354
Hg: 0.3574 0.8928 0.2502
Hg: 0.6426 0.1072 0.7498
Hg: 0.8574 0.6072 0.4646

Crystalline TbHo2Hg2 at its relaxed geometry, computed with GGA-PBE.

## Properties
The value obtained for the calculated volume is 26.82 Å³ per atom. The energy is -32.7 eV per cell. Its energy above the most stable polymorph in this dataset is 0 meV/atom. Its space group is P2_1/m, No. 11. The calculation puts the magnetic moment at 0.000 μB/atom. The calculated formation energy comes out at -388 meV/atom. The mass density comes out at 11.02 g/cm³.

abc: 3.7314 5.2924 13.7104
angles: 90.00 97.86 90.00
Sites, in units of the cell vectors:
Tb: 0.1468 0.2500 0.2930
Tb: 0.8532 0.7500 0.7070
Ho: 0.0471 0.7500 0.0948
Ho: 0.2355 0.7500 0.4713
Ho: 0.7645 0.2500 0.5287
Ho: 0.9529 0.2500 0.9052
Hg: 0.3564 0.2500 0.7124
Hg: 0.4531 0.7500 0.9055
Hg: 0.5469 0.2500 0.0945
Hg: 0.6436 0.7500 0.2876

Crystalline Tb2HoHg2 at its relaxed geometry, computed with GGA-PBE.

## Properties
The value obtained for the calculated volume is 27.04 Å³ per atom. The energy is -32.7 eV per cell. Its space group is P2_1/m, No. 11. The calculation puts the magnetic moment at 0.000 μB/atom. The calculated formation energy comes out at -384 meV/atom. The mass density comes out at 10.86 g/cm³.

abc: 3.7544 5.2894 13.7446
angles: 90.00 97.89 90.00
Sites, in units of the cell vectors:
Tb: 0.0466 0.2500 0.0939
Tb: 0.2351 0.2500 0.4708
Tb: 0.7649 0.7500 0.5292
Tb: 0.9534 0.7500 0.9061
Ho: 0.1464 0.7500 0.2926
Ho: 0.8536 0.2500 0.7074
Hg: 0.3566 0.7500 0.7131
Hg: 0.4516 0.2500 0.9019
Hg: 0.5484 0.7500 0.0981
Hg: 0.6434 0.2500 0.2869

Crystalline TbHoHg at its relaxed geometry, computed with GGA-PBE.

## Properties
The value obtained for the calculated volume is 28.06 Å³ per atom. The energy is -62.2 eV per cell. Its energy above the most stable polymorph in this dataset is 75 meV/atom. Its space group is P2_1/m, No. 11. The calculation puts the magnetic moment at 0.000 μB/atom. The calculated formation energy comes out at -286 meV/atom. The mass density comes out at 10.35 g/cm³.

abc: 8.7858 3.7250 15.4361
angles: 90.00 91.44 90.00
Sites, in units of the cell vectors:
Tb: 0.0225 0.2500 0.2856
Tb: 0.3728 0.7500 0.9114
Tb: 0.4741 0.7500 0.6081
Tb: 0.5259 0.2500 0.3919
Tb: 0.6272 0.2500 0.0886
Tb: 0.9775 0.7500 0.7144
Ho: 0.0292 0.2500 0.9031
Ho: 0.1444 0.2500 0.5514
Ho: 0.3566 0.7500 0.2140
Ho: 0.6434 0.2500 0.7860
Ho: 0.8556 0.7500 0.4486
Ho: 0.9708 0.7500 0.0969
Hg: 0.2382 0.7500 0.4037
Hg: 0.2574 0.2500 0.0624
Hg: 0.2806 0.2500 0.7455
Hg: 0.7194 0.7500 0.2545
Hg: 0.7426 0.7500 0.9376
Hg: 0.7618 0.2500 0.5963

Crystalline Tb8Ho2Hg at its relaxed geometry, computed with GGA-PBE.

## Properties
The value obtained for the calculated volume is 30.46 Å³ per atom. The energy is -46.9 eV per cell. Its energy above the most stable polymorph in this dataset is 0 meV/atom. Its space group is C2/m, No. 12. The calculation puts the magnetic moment at 0.000 μB/atom. The calculated formation energy comes out at -32 meV/atom. The mass density comes out at 8.93 g/cm³.

abc: 9.2765 9.2765 7.8515
angles: 105.08 105.08 31.00
Sites, in units of the cell vectors:
Tb: 0.0455 0.0455 0.2219
Tb: 0.1344 0.1344 0.6768
Tb: 0.3191 0.3191 0.5889
Tb: 0.4105 0.4105 0.0575
Tb: 0.5895 0.5895 0.9425
Tb: 0.6809 0.6809 0.4111
Tb: 0.8656 0.8656 0.3232
Tb: 0.9545 0.9545 0.7781
Ho: 0.2237 0.2237 0.1346
Ho: 0.7763 0.7763 0.8654
Hg: 0.5000 0.5000 0.5000

Crystalline Tb3Ho2Hg2 at its relaxed geometry, computed with GGA-PBE.

## Properties
The value obtained for the calculated volume is 28.02 Å³ per atom. The energy is -25.3 eV per cell. Its energy above the most stable polymorph in this dataset is 0 meV/atom. Its space group is C2/m, No. 12. The calculation puts the magnetic moment at 0.000 μB/atom. The calculated formation energy comes out at -242 meV/atom. The mass density comes out at 10.22 g/cm³.

abc: 5.3485 5.3485 8.4987
angles: 108.38 108.38 60.03
Sites, in units of the cell vectors:
Tb: 0.0000 0.0000 0.0000
Tb: 0.1580 0.1580 0.4739
Tb: 0.8420 0.8420 0.5261
Ho: 0.4252 0.4252 0.2755
Ho: 0.5748 0.5748 0.7245
Hg: 0.2871 0.2871 0.8613
Hg: 0.7129 0.7129 0.1387

Crystalline Tb7HoHg2 at its relaxed geometry, computed with GGA-PBE.

## Properties
The value obtained for the calculated volume is 36.87 Å³ per atom. The energy is -34.7 eV per cell. Its space group is Cmmm, No. 65. The calculation puts the magnetic moment at 0.025 μB/atom. The calculated formation energy comes out at 285 meV/atom. The mass density comes out at 7.56 g/cm³.

abc: 8.9769 8.9769 5.2446
angles: 90.00 90.00 119.25
Sites, in units of the cell vectors:
Tb: 0.0000 0.0000 0.0000
Tb: 0.1982 0.4370 0.0000
Tb: 0.2688 0.7312 0.5000
Tb: 0.4370 0.1982 0.0000
Tb: 0.5630 0.8018 0.0000
Tb: 0.7312 0.2688 0.5000
Tb: 0.8018 0.5630 0.0000
Ho: 0.5000 0.5000 0.5000
Hg: 0.1933 0.8067 0.0000
Hg: 0.8067 0.1933 0.0000